Entry 1:
Lu2BeAl | PBE-GGA | optimized geometry

E_form   12.99 kcal/mol of atoms
Energy relative to the lowest polymorph listed for this composition   745 meV/atom
Symmetry   R-3m
Crystal system   trigonal

```
4
Lattice="3.2904 0.0000 0.0000 1.6452 2.8496 0.0000 1.6452 0.9499 10.2756" Properties=species:S:1:pos:R:3 pbc="T T T"
Al 3.2904 1.8997 5.1378
Lu 1.6452 0.9499 7.4360
Be 0.0000 0.0000 0.0000
Lu 4.9357 2.8496 2.8396
```

=====

Entry 2:
Nd4Cu2Au | PBE-GGA | optimized geometry

E_form   -3.66 kcal/mol of atoms
Energy relative to the lowest polymorph listed for this composition   46 meV/atom
Symmetry   R-3m
Crystal system   trigonal

```
7
Lattice="-0.0837 -4.5453 1.8065 4.1155 -2.6386 0.1750 3.1292 0.9541 9.1692" Properties=species:S:1:pos:R:3 pbc="T T T"
Au 0.0000 0.0000 0.0000
Nd 5.1189 -5.1447 7.1628
Nd 4.2241 -1.9076 8.6430
Nd 2.9368 -4.3222 2.5077
Cu 4.5477 -6.2162 4.4405
Cu 2.6132 -0.0137 6.7102
Nd 2.0421 -1.0851 3.9879
```

=====

Entry 3:
CdGaReTc2 | PBE-GGA | optimized geometry

E_form   33.81 kcal/mol of atoms
Energy relative to the lowest polymorph listed for this composition   242 meV/atom
Symmetry   P4/mmm
Crystal system   tetragonal

```
5
Lattice="4.7058 0.0000 0.0000 0.0000 5.2649 0.0000 0.0000 0.0000 4.7058" Properties=species:S:1:pos:R:3 pbc="T T T"
Ga 2.3529 2.6324 2.3529
Re 0.0000 0.0000 0.0000
Tc 2.3529 0.0000 0.0000
Tc 0.0000 0.0000 2.3529
Cd 0.0000 2.6324 0.0000
```

=====

Entry 4:
Ir4OsPt2 | PBE-GGA | optimized geometry

E_form   3.69 kcal/mol of atoms
Symmetry   C2/m
Crystal system   monoclinic

```
7
Lattice="-2.1999 -1.5573 0.4127 1.1743 -0.4615 -4.4900 5.2418 -7.2483 0.5897" Properties=species:S:1:pos:R:3 pbc="T T T"
Ir 4.0599 -6.5431 -3.0498
Ir 0.1564 -2.7241 -0.4378
Ir 1.9954 -3.4309 -2.3103
Pt 3.7767 -7.8490 -0.4791
Pt 0.4396 -1.4181 -3.0084
Os 2.6209 -3.6241 0.2949
Ir 2.2209 -5.8362 -1.1773
```

=====

Entry 5:
TaBeP2O | PBE-GGA | optimized geometry

Energy relative to the lowest polymorph listed for this composition   198 meV/atom
Symmetry   P4/mmm
Uncorrected formation energy   -0.0378 eV/atom
Crystal system   tetragonal

```
5
Lattice="4.9202 0.0000 0.0000 0.0000 4.9202 0.0000 0.0000 0.0000 3.8260" Properties=species:S:1:pos:R:3 pbc="T T T"
O 0.0000 0.0000 1.9130
Ta 0.0000 0.0000 0.0000
Be 2.4601 2.4601 1.9130
P 0.0000 2.4601 0.0000
P 2.4601 0.0000 0.0000
```

=====

Entry 6:
SrCd6Au6 | PBE-GGA | optimized geometry

E_form   -5.52 kcal/mol of atoms
Energy relative to the lowest polymorph listed for this composition   34 meV/atom
Symmetry   Immm
Crystal system   orthorhombic

```
13
Lattice="-2.5531 1.4575 5.0663 -6.9465 -3.0108 0.7516 0.7951 -5.3691 5.3314" Properties=species:S:1:pos:R:3 pbc="T T T"
Cd -6.1181 -2.9233 4.5300
Au -1.8047 -0.7151 2.6824
Au -4.2824 -3.8224 2.3276
Cd -4.7498 -0.7767 2.9090
Au -1.8689 -4.5576 3.7554
Cd -3.4733 -1.5054 0.3758
Cd -2.5864 -3.9992 6.6193
Cd -0.8790 -1.9558 5.1989
Sr 0.0000 0.0000 0.0000
Au -5.0204 -5.2878 5.7635
Au -3.6841 -1.6346 5.3859
Cd 0.3976 -2.6846 2.6657
Au -6.8998 -6.2073 8.4670
```

=====

Entry 7:
LiBe2Cd | PBE-GGA | optimized geometry

E_form   7.90 kcal/mol of atoms
Symmetry   C2/m
Crystal system   monoclinic

```
4
Lattice="4.9750 -0.0236 0.0369 -2.3413 4.3897 0.0369 0.4916 0.8149 2.4217" Properties=species:S:1:pos:R:3 pbc="T T T"
Cd 2.7333 0.3957 1.2293
Be 0.0000 0.0000 0.0000
Li -0.9248 2.6023 1.2293
Be 1.3168 2.1830 0.0369
```

=====

Entry 8:
Na15Cd | PBE-GGA | optimized geometry

E_form   0.00 kcal/mol of atoms
Symmetry   P-6m2
Crystal system   hexagonal

```
16
Lattice="-4.1773 1.9033 -5.7140 5.0963 -5.2126 -0.7610 -8.0191 -8.2927 3.1004" Properties=species:S:1:pos:R:3 pbc="T T T"
Na -8.7830 -5.5691 -2.5485
Na -2.4379 -2.2026 -1.2388
Na -5.6325 -4.8467 -4.5208
Na -6.6383 -6.5463 0.3851
Na -6.1665 -8.2454 -2.9392
Cd 0.0000 0.0000 0.0000
Na 0.4784 -1.6692 -3.2274
Na -6.0866 -3.2112 -1.3208
Na 2.9953 -4.2436 -3.6033
Na -3.9714 -9.0211 -0.1014
Na -4.5826 -1.2255 -4.1725
Na -1.9661 -3.9017 -4.5632
Na -4.0096 -4.1464 1.5502
Na -0.0376 -4.9530 -1.6223
Na 2.5415 -2.6092 -0.4054
Na -3.5680 -5.7873 -1.6969
```

=====

Entry 9:
PmEr3Al2 | PBE-GGA | optimized geometry

E_form   -4.38 kcal/mol of atoms
Energy relative to the lowest polymorph listed for this composition   69 meV/atom
Symmetry   C2/m
Crystal system   monoclinic

```
12
Lattice="-2.5977 -1.2509 -4.3233 -4.5179 -3.5647 6.8691 -0.2704 8.6183 -2.3311" Properties=species:S:1:pos:R:3 pbc="T T T"
Al -2.9260 5.4896 0.1698
Al -1.7909 6.8193 -4.0200
Pm -1.5517 -0.3934 1.0462
Al -4.4600 -1.6869 0.0449
Er -3.8034 2.6882 1.5076
Al -5.5951 -3.0166 4.2347
Er -4.5353 -0.6416 2.9108
Er -3.5826 1.1146 -1.2929
Er -2.8507 4.4444 -2.6961
Er -0.8265 2.9950 -0.3699
Er -6.5595 0.8078 0.5846
Pm -5.8343 4.1962 -0.8315
```

=====

Entry 10:
Na2Ta2Pt | PBE-GGA | optimized geometry

E_form   21.73 kcal/mol of atoms
Energy relative to the lowest polymorph listed for this composition   0 meV/atom
Symmetry   I4/mmm
Crystal system   tetragonal

```
5
Lattice="3.6133 0.0000 0.0000 0.0000 3.6133 0.0000 1.8067 1.8067 9.6024" Properties=species:S:1:pos:R:3 pbc="T T T"
Na 3.6133 3.6133 7.9526
Pt 0.0000 0.0000 0.0000
Ta 3.6133 1.8067 4.8012
Ta 1.8067 3.6133 4.8012
Na 1.8067 1.8067 1.6498
```

=====

Entry 11:
W2AuBr | PBE-GGA | optimized geometry

Energy relative to the lowest polymorph listed for this composition   243 meV/atom
Symmetry   Imm2
Uncorrected formation energy   0.7942 eV/atom
Crystal system   orthorhombic

```
4
Lattice="6.5891 0.0231 -0.0048 4.1660 5.1051 0.0048 -4.9188 -3.5263 2.6054" Properties=species:S:1:pos:R:3 pbc="T T T"
W 0.1132 0.0540 0.0000
W 1.3926 1.6329 1.3051
Au 5.7023 2.7190 0.0000
Br 4.0057 -0.2398 1.3003
```

=====

Entry 12:
ZnCrMo2 | PBE-GGA | optimized geometry

E_form   4.58 kcal/mol of atoms
Symmetry   P4mm
Crystal system   tetragonal

```
4
Lattice="3.1579 0.0000 0.0000 0.0000 3.1579 0.0000 0.0000 0.0000 5.9219" Properties=species:S:1:pos:R:3 pbc="T T T"
Mo 0.0000 0.0000 5.8874
Cr 1.5789 1.5789 4.4430
Zn 0.0000 0.0000 3.0258
Mo 1.5789 1.5789 1.4485
```